Record 1
Density functional theory data (PBE) for an optimized crystal structure of CrNi2Br.

Unit cell a=8.086 b=8.086 c=8.086 alpha=20.79 beta=20.79 gamma=20.79
Element x y z (fractional)
1 Cr 0.000 0.000 0.000
2 Ni 0.258 0.258 0.258
3 Ni 0.742 0.742 0.742
4 Br 0.500 0.500 0.500

Properties
excess energy over the best structure of this formula in the dataset = 0.213 eV per atom
E_tot = -5.163 eV/atom
density of states at the Fermi level = 5.53 states/eV/f.u.

***

Record 2
Density functional theory data (PBE) for an optimized crystal structure of CrNiBr.

Unit cell a=5.680 b=5.680 c=5.680 alpha=148.45 beta=148.45 gamma=45.22
Element x y z (fractional)
1 Cr 0.000 0.000 0.000
2 Ni 0.374 0.374 0.000
3 Br 0.667 0.667 0.000

Properties
excess energy over the best structure of this formula in the dataset = 0.611 eV per atom
E_tot = -5.155 eV/atom
density of states at the Fermi level = 4.56 states/eV/f.u.

***

Record 3
Density functional theory data (PBE) for an optimized crystal structure of CrNi2Br.

Unit cell a=4.183 b=4.183 c=3.319 alpha=90.00 beta=90.00 gamma=100.99
Element x y z (fractional)
1 Cr 0.000 0.000 0.000
2 Ni 0.000 0.500 0.500
3 Ni 0.500 0.000 0.500
4 Br 0.500 0.500 0.000

Properties
excess energy over the best structure of this formula in the dataset = 0.335 eV per atom
E_tot = -5.041 eV/atom
density of states at the Fermi level = 5.95 states/eV/f.u.